Record 1
# GGA-PBEsol HfTiGa2, optimized geometry
# Spin magnetization, Bohr magnetons per cell: 2.21
# DFT formation energy, eV/atom: -0.32
data_HfTiGa2
_cell_length_a 6.432
_cell_length_b 6.432
_cell_length_c 6.432
_cell_angle_alpha 90.00
_cell_angle_beta 90.00
_cell_angle_gamma 90.00
_space_group_name_H-M_alt 'F m -3 m'
_space_group_IT_number 225
_space_group_name_Hall '-F 4 2 3'
loop_
_atom_site_label
_atom_site_fract_x
_atom_site_fract_y
_atom_site_fract_z
_atom_site_occupancy
Hf1 0.000 0.000 0.000 1
Ti1 0.000 0.000 0.500 1
Ga1 0.250 0.250 0.250 1

---

Record 2
# GGA-PBEsol RbCoTc2H, optimized geometry
# Spin magnetization, Bohr magnetons per cell: 4.51
# E_tot, eV per atom: -5.091
data_RbCoTc2H
_cell_length_a 4.335
_cell_length_b 4.335
_cell_length_c 6.719
_cell_angle_alpha 90.00
_cell_angle_beta 90.00
_cell_angle_gamma 90.00
_space_group_name_H-M_alt 'P 4/m m m'
_space_group_IT_number 123
_space_group_name_Hall '-P 4 2'
loop_
_atom_site_label
_atom_site_fract_x
_atom_site_fract_y
_atom_site_fract_z
_atom_site_occupancy
Rb1 0.000 0.000 0.000 1
Co1 0.000 0.000 0.500 1
Tc1 0.000 0.500 0.500 1
H1 0.500 0.500 0.000 1

---

Record 3
# GGA-PBEsol KTcHg2, optimized geometry
# Spin magnetization, Bohr magnetons per cell: 13.86
# E above lowest polymorph, meV per atom: 393
# DFT formation energy, eV/atom: 0.98
data_KTcHg2
_cell_length_a 7.097
_cell_length_b 7.097
_cell_length_c 7.097
_cell_angle_alpha 90.00
_cell_angle_beta 90.00
_cell_angle_gamma 90.00
_space_group_name_H-M_alt 'F -4 3 m'
_space_group_IT_number 216
_space_group_name_Hall 'F -4 2 3'
loop_
_atom_site_label
_atom_site_fract_x
_atom_site_fract_y
_atom_site_fract_z
_atom_site_occupancy
K1 0.000 0.000 0.000 1
Tc1 0.250 0.250 0.750 1
Hg1 0.000 0.000 0.500 1
Hg2 0.250 0.250 0.250 1

---

Record 4
# GGA-PBEsol CdReAg, optimized geometry
# Spin magnetization, Bohr magnetons per cell: 8.58
# E above lowest polymorph, meV per atom: 698
# DFT formation energy, eV/atom: 1.48
data_CdReAg
_cell_length_a 6.260
_cell_length_b 6.260
_cell_length_c 6.260
_cell_angle_alpha 90.00
_cell_angle_beta 90.00
_cell_angle_gamma 90.00
_space_group_name_H-M_alt 'F -4 3 m'
_space_group_IT_number 216
_space_group_name_Hall 'F -4 2 3'
loop_
_atom_site_label
_atom_site_fract_x
_atom_site_fract_y
_atom_site_fract_z
_atom_site_occupancy
Cd1 0.000 0.000 0.000 1
Re1 0.250 0.250 0.250 1
Ag1 0.000 0.000 0.500 1

---

Record 5
# GGA-PBEsol LaYMo2, optimized geometry
# Spin magnetization, Bohr magnetons per cell: 0.00
# E above lowest polymorph, meV per atom: 128
# DFT formation energy, eV/atom: 0.78
data_LaYMo2
_cell_length_a 4.086
_cell_length_b 4.086
_cell_length_c 9.945
_cell_angle_alpha 90.00
_cell_angle_beta 90.00
_cell_angle_gamma 90.00
_space_group_name_H-M_alt 'I 4/m m m'
_space_group_IT_number 139
_space_group_name_Hall '-I 4 2'
loop_
_atom_site_label
_atom_site_fract_x
_atom_site_fract_y
_atom_site_fract_z
_atom_site_occupancy
La1 0.000 0.000 0.000 1
Y1 0.000 0.000 0.500 1
Mo1 0.000 0.500 0.250 1

---

Record 6
# GGA-PBEsol Cd2AsW, optimized geometry
# Spin magnetization, Bohr magnetons per cell: 0.00
# DFT formation energy, eV/atom: 0.31
data_Cd2AsW
_cell_length_a 3.156
_cell_length_b 4.693
_cell_length_c 10.807
_cell_angle_alpha 90.00
_cell_angle_beta 90.00
_cell_angle_gamma 90.00
_space_group_name_H-M_alt 'C m m 2'
_space_group_IT_number 35
loop_
_space_group_symop_operation_xyz
'x,y,z'
'-x,-y,z'
'-x,y,z'
'x,-y,z'
'x+1/2,y+1/2,z'
'-x+1/2,-y+1/2,z'
'-x+1/2,y+1/2,z'
'x+1/2,-y+1/2,z'
loop_
_atom_site_label
_atom_site_fract_x
_atom_site_fract_y
_atom_site_fract_z
_atom_site_occupancy
Cd1 0.000 0.000 0.000 1
Cd2 0.000 0.500 0.259 1
As1 0.000 0.000 0.587 1
W1 0.000 0.500 0.770 1

---

Record 7
# GGA-PBEsol HfMg3Bi, optimized geometry
# Spin magnetization, Bohr magnetons per cell: 0.00
# DFT formation energy, eV/atom: 1.13
data_HfMg3Bi
_cell_length_a 5.436
_cell_length_b 5.436
_cell_length_c 5.436
_cell_angle_alpha 90.00
_cell_angle_beta 90.00
_cell_angle_gamma 90.00
_space_group_name_H-M_alt 'P m -3 m'
_space_group_IT_number 221
_space_group_name_Hall '-P 4 2 3'
loop_
_atom_site_label
_atom_site_fract_x
_atom_site_fract_y
_atom_site_fract_z
_atom_site_occupancy
Hf1 0.000 0.000 0.000 1
Mg1 0.000 0.000 0.500 1
Bi1 0.500 0.500 0.500 1

---

Record 8
# GGA-PBEsol CsB3H, optimized geometry
# Spin magnetization, Bohr magnetons per cell: 0.00
# E_tot, eV per atom: -2.495
data_CsB3H
_cell_length_a 4.066
_cell_length_b 4.066
_cell_length_c 4.066
_cell_angle_alpha 90.00
_cell_angle_beta 90.00
_cell_angle_gamma 90.00
_space_group_name_H-M_alt 'P m -3 m'
_space_group_IT_number 221
_space_group_name_Hall '-P 4 2 3'
loop_
_atom_site_label
_atom_site_fract_x
_atom_site_fract_y
_atom_site_fract_z
_atom_site_occupancy
Cs1 0.000 0.000 0.000 1
B1 0.000 0.500 0.500 1
H1 0.500 0.500 0.500 1

---

Record 9
# GGA-PBEsol MgCuRe, optimized geometry
# Spin magnetization, Bohr magnetons per cell: 0.00
# DFT formation energy, eV/atom: 0.30
data_MgCuRe
_cell_length_a 2.7274
_cell_length_b 2.7274
_cell_length_c 6.7248
_cell_angle_alpha 90.00
_cell_angle_beta 90.00
_cell_angle_gamma 120.00
_space_group_name_H-M_alt 'P 3 m 1'
_space_group_IT_number 156
loop_
_space_group_symop_operation_xyz
'x,y,z'
'-y,x-y,z'
'-x+y,-x,z'
'-y,-x,z'
'-x+y,y,z'
'x,x-y,z'
loop_
_atom_site_label
_atom_site_fract_x
_atom_site_fract_y
_atom_site_fract_z
_atom_site_occupancy
Mg1 0.0000 0.0000 0.0000 1
Cu1 0.6667 0.3333 0.3309 1
Re1 0.3333 0.6667 0.6476 1

---

Record 10
# GGA-PBEsol ZnRu2Au, optimized geometry
# Spin magnetization, Bohr magnetons per cell: 0.01
# DFT formation energy, eV/atom: 0.30
data_ZnRu2Au
_cell_length_a 2.7276
_cell_length_b 2.7276
_cell_length_c 26.4693
_cell_angle_alpha 90.00
_cell_angle_beta 90.00
_cell_angle_gamma 120.00
_space_group_name_H-M_alt 'R -3 m'
_space_group_IT_number 166
_space_group_name_Hall '-R 3 2"'
loop_
_atom_site_label
_atom_site_fract_x
_atom_site_fract_y
_atom_site_fract_z
_atom_site_occupancy
Zn1 0.0000 0.0000 0.0000 1
Ru1 0.0000 0.0000 0.2539 1
Au1 0.0000 0.0000 0.5000 1

---

Record 11
# GGA-PBEsol IrPtAu2, optimized geometry
# Spin magnetization, Bohr magnetons per cell: 0.02
# E above lowest polymorph, meV per atom: 28
# DFT formation energy, eV/atom: 0.32
data_IrPtAu2
_cell_length_a 4.002
_cell_length_b 4.002
_cell_length_c 7.827
_cell_angle_alpha 90.00
_cell_angle_beta 90.00
_cell_angle_gamma 90.00
_space_group_name_H-M_alt 'I -4 m 2'
_space_group_IT_number 119
_space_group_name_Hall 'I -4 -2'
loop_
_atom_site_label
_atom_site_fract_x
_atom_site_fract_y
_atom_site_fract_z
_atom_site_occupancy
Ir1 0.000 0.000 0.000 1
Pt1 0.000 0.500 0.250 1
Au1 0.000 0.000 0.500 1
Au2 0.000 0.500 0.750 1

---

Record 12
# GGA-PBEsol La2AlBr, optimized geometry
# Spin magnetization, Bohr magnetons per cell: 0.00
# E above lowest polymorph, meV per atom: 0
# Formation energy from raw total energies, eV per atom: -0.84
data_La2AlBr
_cell_length_a 3.533
_cell_length_b 3.533
_cell_length_c 8.392
_cell_angle_alpha 90.00
_cell_angle_beta 90.00
_cell_angle_gamma 90.00
_space_group_name_H-M_alt 'P 4/m m m'
_space_group_IT_number 123
_space_group_name_Hall '-P 4 2'
loop_
_atom_site_label
_atom_site_fract_x
_atom_site_fract_y
_atom_site_fract_z
_atom_site_occupancy
La1 0.000 0.000 0.239 1
Al1 0.500 0.500 0.000 1
Br1 0.500 0.500 0.500 1